Computed, not measured: crystalline Tl2GaSn2 at its relaxed geometry at the PBEsol level of DFT.

Summary:
The value obtained for the total magnetization is 0.0 μB/f.u. As for the formation enthalpy at 0 K: 81 meV per atom.

Cell lengths 5.169, 7.261, 7.261 Å; angles 90.00, 90.00, 90.00 degrees
Fractional coordinates of all 10 atoms:
Ga 0.000 0.000 0.000
Tl 0.500 0.671 0.829
Tl 0.500 0.171 0.671
Sn 0.000 0.357 0.857
Ga 0.000 0.500 0.500
Tl 0.500 0.329 0.171
Sn 0.000 0.857 0.643
Tl 0.500 0.829 0.329
Sn 0.000 0.143 0.357
Sn 0.000 0.643 0.143